Model P:
Material: OsRu5
Method: DFT, PBE
State: relaxed

Cell lengths 4.316, 7.232, 7.232 Å; angles 21.75, 90.00, 90.00 degrees
Sites, in units of the cell vectors:
Os  0.000  0.000  0.000
Ru  0.000  0.333  0.333
Ru  0.000  0.666  0.666
Ru  0.500  0.111  0.111
Ru  0.500  0.444  0.444
Ru  0.500  0.777  0.777

Properties
SG: Amm2, No. 38
crystal system: orthorhombic

=====

Model Q:
Material: OsRu5
Method: DFT, PBE
State: relaxed

Cell lengths 4.721, 4.721, 4.329 Å; angles 90.00, 90.00, 120.00 degrees
Sites, in units of the cell vectors:
Os  0.000  0.000  0.000
Ru  0.000  0.667  0.500
Ru  0.333  0.333  0.500
Ru  0.333  0.667  0.000
Ru  0.667  0.000  0.500
Ru  0.667  0.333  0.000

Properties
SG: P-62m, No. 189
crystal system: hexagonal

=====

Of them, model P has the lowest stability.